Li2ZnCdF8: optimized geometry, GGA-PBE.

Cell: 4.6941 4.6832 6.6214 Å, 87.28 92.66 92.36°
With the nearest neighbours (Å) after each atom.
Element x y z (fractional)
F: 0.2986 0.2909 0.0004  1 Zn 1.91, 2 Li 2.06
F: 0.1970 0.7960 0.7616  1 Li 2.03, 1 Cd 2.13, 1 Zn 2.15
F: 0.8030 0.2040 0.2384  1 Li 2.03, 1 Cd 2.13, 1 Zn 2.15
F: 0.3263 0.3201 0.5003  2 Li 2.09, 1 Cd 2.10, 1 F 2.30
F: 0.6737 0.6799 0.4997  2 Li 2.09, 1 Cd 2.10, 1 F 2.30
F: 0.1938 0.7989 0.2251  1 Zn 1.94, 1 Li 2.04
F: 0.8062 0.2011 0.7749  1 Zn 1.94, 1 Li 2.04
Zn: 0.0000 0.0000 0.0000  4 F 1.91-1.94
F: 0.7014 0.7091 0.9996  1 Zn 1.91, 2 Li 2.06
Li: 0.5003 0.4995 0.7633  6 F 2.03-2.09
Li: 0.4997 0.5005 0.2367  6 F 2.03-2.09
Cd: 0.0000 0.0000 0.5000  6 F 2.10-2.33

Values from the calculation:
Size of the total moment   1.1 μB/cell
V   12.1 Å³ per atom
Symmetry   P-1 (2)
Uncorrected formation energy   -2059 meV/atom
VASP energy   -3.808 eV/atom